Ta8Al7: relaxed, GGA-PBE.

Calculated values
Its total energy is -8.084 eV per atom.

Cell lengths 10.081, 10.081, 5.217 Å; angles 90.00, 90.00, 90.00 degrees
Space group P4_2/mnm (No. 136)
Symmetry-distinct sites (fractional):
Ta (0.025, 0.363, 0.000) [8 per cell]
Ta (0.055, 0.260, 0.500) [8 per cell]
Al (0.000, 0.000, 0.500) [2 per cell]
Al (0.102, 0.102, 0.000) [4 per cell]
Al (0.195, 0.805, 0.251) [8 per cell]